Arrangement A

The following is a DFT calculation (PBE) of a relaxed structure of NaVSeBr2.

Lattice parameters (Å, degrees): 5.1825 5.1825 5.4079 90.00 90.00 90.00
Space group P4/mmm (No. 123)
Unique sites:
Na 0.0000 0.0000 0.0000
V 0.5000 0.5000 0.5000
Se 0.0000 0.0000 0.5000
Br 0.0000 0.5000 0.0000

***

Arrangement B

The following is a DFT calculation (PBE) of a relaxed structure of NaVSeBr2.

Lattice parameters (Å, degrees): 5.3407 5.3407 4.7880 90.00 90.00 90.00
Space group P4/mmm (No. 123)
Unique sites:
Na 0.0000 0.0000 0.0000
V 0.5000 0.5000 0.5000
Se 0.5000 0.5000 0.0000
Br 0.0000 0.5000 0.5000

***

Referenced to the most stable arrangement, the calculated values in meV per atom are arrangement A 1081; arrangement B 0.

***

Arrangement A

The following is a DFT calculation (PBE) of a relaxed structure of NaWSe2Br.

Lattice parameters (Å, degrees): 4.9020 4.9020 5.5801 90.00 90.00 90.00
Space group P4/mmm (No. 123)
Unique sites:
Na 0.0000 0.0000 0.0000
W 0.5000 0.5000 0.5000
Se 0.0000 0.5000 0.5000
Br 0.5000 0.5000 0.0000

***

Arrangement B

The following is a DFT calculation (PBE) of a relaxed structure of NaWSe2Br.

Lattice parameters (Å, degrees): 5.0080 5.0080 4.8864 90.00 90.00 90.00
Space group P4/mmm (No. 123)
Unique sites:
Na 0.0000 0.0000 0.0000
W 0.5000 0.5000 0.5000
Se 0.0000 0.5000 0.0000
Br 0.0000 0.0000 0.5000

***

Referenced to the most stable arrangement, the calculated values in meV per atom are arrangement A 0; arrangement B 1735.

***

Arrangement A

The following is a DFT calculation (PBE) of a relaxed structure of NaZnSeBr2.

Lattice parameters (Å, degrees): 5.4158 5.4158 4.8963 90.00 90.00 90.00
Space group P4/mmm (No. 123)
Unique sites:
Na 0.0000 0.0000 0.0000
Zn 0.5000 0.5000 0.5000
Se 0.5000 0.5000 0.0000
Br 0.0000 0.5000 0.5000

***

Arrangement B

The following is a DFT calculation (PBE) of a relaxed structure of NaZnSeBr2.

Lattice parameters (Å, degrees): 5.4741 5.4741 5.4727 90.00 90.00 90.00
Space group P4/mmm (No. 123)
Unique sites:
Na 0.0000 0.0000 0.0000
Zn 0.5000 0.5000 0.5000
Se 0.0000 0.0000 0.5000
Br 0.0000 0.5000 0.0000

***

Referenced to the most stable arrangement, the calculated values in meV per atom are arrangement A 0; arrangement B 700.

***

Arrangement A

The following is a DFT calculation (PBE) of a relaxed structure of NaZnSe2Br.

Lattice parameters (Å, degrees): 5.4934 5.4934 5.3967 90.00 90.00 90.00
Space group P4/mmm (No. 123)
Unique sites:
Na 0.0000 0.0000 0.0000
Zn 0.5000 0.5000 0.5000
Se 0.0000 0.5000 0.0000
Br 0.0000 0.0000 0.5000

***

Arrangement B

The following is a DFT calculation (PBE) of a relaxed structure of NaZnSe2Br.

Lattice parameters (Å, degrees): 4.8377 4.8377 5.9712 90.00 90.00 90.00
Space group P4/mmm (No. 123)
Unique sites:
Na 0.0000 0.0000 0.0000
Zn 0.5000 0.5000 0.5000
Se 0.0000 0.5000 0.5000
Br 0.5000 0.5000 0.0000

***

Referenced to the most stable arrangement, the calculated values in meV per atom are arrangement A 767; arrangement B 0.

***

Arrangement A

The following is a DFT calculation (PBE) of a relaxed structure of NaZrSeBr2.

Lattice parameters (Å, degrees): 5.4110 5.4110 5.2442 90.00 90.00 90.00
Space group P4/mmm (No. 123)
Unique sites:
Na 0.0000 0.0000 0.0000
Zr 0.5000 0.5000 0.5000
Se 0.5000 0.5000 0.0000
Br 0.0000 0.5000 0.5000

***

Arrangement B

The following is a DFT calculation (PBE) of a relaxed structure of NaZrSeBr2.

Lattice parameters (Å, degrees): 4.9702 4.9702 5.4372 90.00 90.00 90.00
Space group P4/mmm (No. 123)
Unique sites:
Na 0.0000 0.0000 0.0000
Zr 0.5000 0.5000 0.5000
Se 0.0000 0.0000 0.5000
Br 0.0000 0.5000 0.0000

***

Referenced to the most stable arrangement, the calculated values in meV per atom are arrangement A 0; arrangement B 1020.

***

Arrangement A

The following is a DFT calculation (PBE) of a relaxed structure of NaSi2Br.

Lattice parameters (Å, degrees): 7.0816 7.0816 7.0816 90.00 90.00 90.00
Space group Fm-3m (No. 225)
Unique sites:
Na 0.0000 0.0000 0.0000
Si 0.2500 0.2500 0.2500
Br 0.0000 0.0000 0.5000

***

Arrangement B

The following is a DFT calculation (PBE) of a relaxed structure of NaSi2Br.

Lattice parameters (Å, degrees): 8.8167 8.8167 5.1509 90.00 90.00 90.00
Space group I-42d (No. 122)
Unique sites:
Na 0.0000 0.0000 0.0000
Si 0.2301 0.2500 0.6250
Br 0.0000 0.0000 0.5000

***

Referenced to the most stable arrangement, the calculated values in meV per atom are arrangement A 350; arrangement B 0.

***

Arrangement A

The following is a DFT calculation (PBE) of a relaxed structure of NaSiBr2.

Lattice parameters (Å, degrees): 5.7623 5.7623 16.1240 90.00 90.00 90.00
Space group I-42d (No. 122)
Unique sites:
Na 0.0000 0.0000 0.0000
Si 0.0000 0.0000 0.5000
Br 0.2222 0.2500 0.6250

***

Arrangement B

The following is a DFT calculation (PBE) of a relaxed structure of NaSiBr2.

Lattice parameters (Å, degrees): 7.3145 7.3145 7.3145 90.00 90.00 90.00
Space group Fm-3m (No. 225)
Unique sites:
Na 0.0000 0.0000 0.0000
Si 0.0000 0.0000 0.5000
Br 0.2500 0.2500 0.2500

***

Referenced to the most stable arrangement, the calculated values in meV per atom are arrangement A 0; arrangement B 76.

***

Arrangement A

The following is a DFT calculation (PBE) of a relaxed structure of NaSm2Br6.

Lattice parameters (Å, degrees): 7.1971 7.1971 6.9990 90.00 90.00 120.00
Space group P-31m (No. 162)
Unique sites:
Na 0.0000 0.0000 0.0000
Sm 0.3333 0.6667 0.5000
Br 0.0000 0.3423 0.7427

***

Arrangement B

The following is a DFT calculation (PBE) of a relaxed structure of NaSm2Br6.

Lattice parameters (Å, degrees): 7.0671 7.0671 12.4837 90.00 90.00 90.00
Space group P4_2/mnm (No. 136)
Unique sites:
Na 0.0000 0.0000 0.0000
Sm 0.0000 0.0000 0.3460
Br 0.2078 0.2078 0.1739
Br 0.2130 0.2130 0.5000

***

Referenced to the most stable arrangement, the calculated values in meV per atom are arrangement A 0; arrangement B 8.

***

Arrangement A

The following is a DFT calculation (PBE) of a relaxed structure of NaSnBr2.

Lattice parameters (Å, degrees): 3.9570 3.9570 27.8282 90.00 90.00 120.00
Space group R-3m (No. 166, hexagonal axes)
Unique sites:
Na 0.0000 0.0000 0.0000
Sn 0.0000 0.0000 0.5000
Br 0.0000 0.0000 0.3979

***

Arrangement B

The following is a DFT calculation (PBE) of a relaxed structure of NaSnBr2.

Lattice parameters (Å, degrees): 7.6487 7.6487 7.6487 90.00 90.00 90.00
Space group Fm-3m (No. 225)
Unique sites:
Na 0.0000 0.0000 0.0000
Sn 0.0000 0.0000 0.5000
Br 0.2500 0.2500 0.2500

***

Arrangement C

The following is a DFT calculation (PBE) of a relaxed structure of NaSnBr2.

Lattice parameters (Å, degrees): 5.9251 5.9251 17.1471 90.00 90.00 90.00
Space group I-42d (No. 122)
Unique sites:
Na 0.0000 0.0000 0.0000
Sn 0.0000 0.0000 0.5000
Br 0.2409 0.2500 0.1250

***

Referenced to the most stable arrangement, the calculated values in meV per atom are arrangement A 0; arrangement B 195; arrangement C 187.

***

Arrangement A

The following is a DFT calculation (PBE) of a relaxed structure of NaSn3Br.

Lattice parameters (Å, degrees): 5.5563 5.5563 5.5563 90.00 90.00 90.00
Space group Pm-3m (No. 221)
Unique sites:
Na 0.0000 0.0000 0.0000
Sn 0.0000 0.0000 0.5000
Br 0.5000 0.5000 0.5000

***

Arrangement B

The following is a DFT calculation (PBE) of a relaxed structure of NaSn3Br.

Lattice parameters (Å, degrees): 5.6799 5.6799 5.6799 90.00 90.00 90.00
Space group Pm-3m (No. 221)
Unique sites:
Na 0.0000 0.0000 0.0000
Sn 0.0000 0.5000 0.5000
Br 0.5000 0.5000 0.5000

***

Referenced to the most stable arrangement, the calculated values in meV per atom are arrangement A 157; arrangement B 0.

***

Arrangement A

The following is a DFT calculation (PBE) of a relaxed structure of Na2SnBr2.

Lattice parameters (Å, degrees): 5.2364 5.2364 11.8326 90.00 90.00 90.00
Space group I4/mmm (No. 139)
Unique sites:
Na 0.0000 0.0000 0.1512
Sn 0.0000 0.0000 0.5000
Br 0.0000 0.5000 0.2500

***

Arrangement B

The following is a DFT calculation (PBE) of a relaxed structure of Na2SnBr2.

Lattice parameters (Å, degrees): 8.9391 8.9391 3.5003 90.00 90.00 90.00
Space group P4/mbm (No. 127)
Unique sites:
Na 0.1401 0.3599 0.0000
Sn 0.0000 0.0000 0.0000
Br 0.1518 0.6518 0.5000

***

Referenced to the most stable arrangement, the calculated values in meV per atom are arrangement A 113; arrangement B 0.

***

Arrangement A

The following is a DFT calculation (PBE) of a relaxed structure of NaSn2Br6.

Lattice parameters (Å, degrees): 6.9355 6.9355 13.0812 90.00 90.00 90.00
Space group P4_2/mnm (No. 136)
Unique sites:
Na 0.0000 0.0000 0.0000
Sn 0.0000 0.0000 0.3320
Br 0.1924 0.1924 0.5000
Br 0.2058 0.2058 0.1741

***

Arrangement B

The following is a DFT calculation (PBE) of a relaxed structure of NaSn2Br6.

Lattice parameters (Å, degrees): 13.5091 5.5165 9.9860 90.00 115.55 90.00
Space group C2/m (No. 12)
Unique sites:
Na 0.0000 0.0000 0.0000
Sn 0.1849 0.0000 0.6464
Br 0.0115 0.0000 0.7109
Br 0.1521 0.5000 0.0813
Br 0.1862 0.5000 0.5940

***

Referenced to the most stable arrangement, the calculated values in meV per atom are arrangement A 0; arrangement B 17.